Below is crystalline Pm3Si2TePt9 at its relaxed geometry, with properties calculated at the PBE level.

Values from the calculation:
**E_tot**: -6.26 eV per atom
**Formation energy (no corrections)**: -11.28 eV/f.u.

The structure in CIF format:
```
data_Pm3Si2TePt9
_cell_length_a 5.7347
_cell_length_b 5.7347
_cell_length_c 11.1395
_cell_angle_alpha 90.00
_cell_angle_beta 90.00
_cell_angle_gamma 120.00
_symmetry_space_group_name_H-M 'P -3 m 1'
_symmetry_Int_Tables_number 164
_symmetry_space_group_name_Hall '-P 3 2"'
loop_
_atom_site_label
_atom_site_type_symbol
_atom_site_fract_x
_atom_site_fract_y
_atom_site_fract_z
Pm1 Pm 0.0000 0.0000 0.0000
Pm2 Pm 0.3333 0.6667 0.5972
Si1 Si 0.3333 0.6667 0.1568
Te1 Te 0.0000 0.0000 0.5000
Pt1 Pt 0.0000 0.5000 0.0000
Pt2 Pt 0.1664 0.3328 0.3055
```